(1)
A relaxed structure of Mg14MnNiO16. Source: Alexandria, functional GGA-PBEsol.

Values from the calculation:
Total DFT energy (no corrections): -204.2 eV/cell
DOS(E_F): 1.40 states/eV/cell
Total magnetization: 6.312 μB per formula unit
Formation energy from raw total energies: -2.508 eV per atom
V: 301.2 Å³/f.u.

Cell lengths 4.2201, 8.4250, 8.4725 Å; angles 90.00, 90.00, 90.00 degrees
Closest atoms and distances in Å follow each position.
Fractional coordinates of all 32 atoms:
Mg  0.5000  0.0000  0.2522  6 O 2.10-2.14
Mg  0.5000  0.2550  0.0000  6 O 2.06-2.15
Mg  0.5000  0.5000  0.7530  6 O 2.09-2.14
Mg  0.5000  0.5000  0.2470  6 O 2.09-2.14
Mg  0.0000  0.5000  0.5000  6 O 2.10-2.11
Mg  0.0000  0.2521  0.2497  6 O 2.09-2.12
Mg  0.5000  0.2510  0.5000  6 O 2.10-2.13
Mg  0.0000  0.0000  0.5000  6 O 2.07-2.11
Mg  0.5000  0.0000  0.7478  6 O 2.10-2.14
Mg  0.0000  0.2521  0.7503  6 O 2.09-2.12
Mg  0.0000  0.7479  0.7503  6 O 2.09-2.12
Mg  0.5000  0.7450  0.0000  6 O 2.06-2.15
Mg  0.0000  0.7479  0.2497  6 O 2.09-2.12
Mg  0.5000  0.7490  0.5000  6 O 2.10-2.13
O  0.0000  0.7493  0.5000  6 Mg 2.10-2.12
O  0.5000  0.0000  0.0000  2 Mn 2.11, 4 Mg 2.14-2.15
O  0.0000  0.5000  0.7479  5 Mg 2.09-2.11, 1 Ni 2.14
O  0.0000  0.2472  0.0000  1 Mn 2.08, 4 Mg 2.11-2.12, 1 Ni 2.13
O  0.5000  0.5000  0.0000  4 Mg 2.06-2.09, 2 Ni 2.11
O  0.0000  0.2507  0.5000  6 Mg 2.10-2.12
O  0.5000  0.0000  0.5000  6 Mg 2.10-2.11
O  0.5000  0.2497  0.2488  6 Mg 2.10-2.13
O  0.0000  0.0000  0.7444  5 Mg 2.07-2.12, 1 Mn 2.17
O  0.0000  0.7528  0.0000  1 Mn 2.08, 4 Mg 2.11-2.12, 1 Ni 2.13
O  0.0000  0.0000  0.2556  5 Mg 2.07-2.12, 1 Mn 2.17
O  0.5000  0.5000  0.5000  6 Mg 2.10-2.14
O  0.5000  0.2497  0.7512  6 Mg 2.10-2.13
O  0.5000  0.7503  0.2488  6 Mg 2.10-2.13
O  0.0000  0.5000  0.2521  5 Mg 2.09-2.11, 1 Ni 2.14
O  0.5000  0.7503  0.7512  6 Mg 2.10-2.13
Ni  0.0000  0.5000  0.0000  6 O 2.11-2.14
Mn  0.0000  0.0000  0.0000  6 O 2.08-2.17

=====

(2)
A relaxed structure of MgMn2O4. Source: Alexandria, functional GGA-PBEsol.

Values from the calculation:
Total DFT energy (no corrections): -111.3 eV/cell
DOS(E_F): 3.93 states/eV/cell
Total magnetization: 6.040 μB per formula unit
Relative energy among the computed polymorphs: 0.0000 eV per atom
Formation energy from raw total energies: -1.918 eV per atom
V: 70.3 Å³/f.u.

Cell lengths 5.9089, 5.9089, 5.7662 Å; angles 89.99, 119.21, 121.60 degrees
Closest atoms and distances in Å follow each position.
Fractional coordinates of all 14 atoms:
O  0.7824  0.3794  0.6206  3 Mn 1.94-1.95, 1 Mg 2.05
O  0.2294  0.3853  0.6147  4 Mn 1.98-1.99
O  0.2723  0.8638  0.1361  3 Mn 1.97, 1 Mg 2.02
O  0.7824  0.3794  0.1618  3 Mn 1.94-1.95, 1 Mg 2.05
O  0.2412  0.8381  0.6206  3 Mn 1.94-1.95, 1 Mg 2.05
O  0.7177  0.8707  0.1294  2 Mn 1.93, 2 Mg 1.94-2.04
O  0.7177  0.8706  0.5883  2 Mn 1.93, 2 Mg 1.94-2.04
O  0.2587  0.4116  0.1294  2 Mn 1.93, 2 Mg 1.94-2.04
Mn  0.5005  0.2497  0.7502  4 O 1.95-1.99
Mn  0.2512  0.6250  0.8762  6 O 1.93-1.98
Mn  0.7501  0.1238  0.3750  6 O 1.93-1.98
Mn  0.2512  0.6250  0.3750  6 O 1.93-1.98
Mg  0.9971  0.0015  0.9985  4 O 1.94-2.02
Mg  0.7485  0.6258  0.3742  6 O 2.04-2.05

=====

(3)
A relaxed structure of MgMn2O4. Source: Alexandria, functional GGA-PBEsol.

Values from the calculation:
Total DFT energy (no corrections): -111.1 eV/cell
DOS(E_F): 2.58 states/eV/cell
Total magnetization: 7.890 μB per formula unit
Relative energy among the computed polymorphs: 0.0146 eV per atom
Formation energy from raw total energies: -1.903 eV per atom
V: 72.8 Å³/f.u.

Cell lengths 5.8362, 5.9178, 5.9319 Å; angles 120.08, 90.00, 119.55 degrees
Closest atoms and distances in Å follow each position.
Fractional coordinates of all 14 atoms:
O  0.2870  0.5477  0.2739  2 Mn 1.90-1.94, 2 Mg 2.04
O  0.2524  0.0048  0.2811  3 Mn 1.96-2.01, 1 Mg 2.09
O  0.2393  0.4523  0.7261  2 Mn 1.90-1.94, 2 Mg 2.04
O  0.2524  0.0048  0.7237  3 Mn 1.96-2.01, 1 Mg 2.09
O  0.7607  0.5477  0.2739  2 Mn 1.90-1.94, 2 Mg 2.04
O  0.7476  0.9952  0.2763  3 Mn 1.96-2.01, 1 Mg 2.09
O  0.7476  0.9952  0.7189  3 Mn 1.96-2.01, 1 Mg 2.09
O  0.7130  0.4523  0.7261  2 Mn 1.90-1.94, 2 Mg 2.04
Mn  0.8837  0.2673  0.1337  4 O 1.94-2.01
Mn  0.1163  0.7327  0.8663  4 O 1.94-2.01
Mn  0.5000  0.0000  0.5000  6 O 1.90-1.96
Mn  0.0000  0.0000  0.5000  6 O 1.90-1.96
Mg  0.5000  0.5000  0.0000  6 O 2.04-2.09
Mg  0.5000  0.5000  0.5000  6 O 2.04-2.09

=====

(4)
A relaxed structure of MgMn2O4. Source: Alexandria, functional GGA-PBEsol.

Values from the calculation:
Total DFT energy (no corrections): -111.0 eV/cell
DOS(E_F): 1.38 states/eV/cell
Total magnetization: 8.001 μB per formula unit
Relative energy among the computed polymorphs: 0.0201 eV per atom
Formation energy from raw total energies: -1.898 eV per atom
V: 76.3 Å³/f.u.

Cell lengths 5.6995, 6.1881, 5.6995 Å; angles 62.58, 90.00, 117.42 degrees
Closest atoms and distances in Å follow each position.
Fractional coordinates of all 14 atoms:
Mn  0.8750  0.2500  0.8750  4 O 1.92
Mn  0.3750  0.2500  0.8750  4 O 1.92
Mn  0.8750  0.7500  0.8750  4 O 1.92
Mn  0.8750  0.7500  0.3750  4 O 1.92
O  0.1207  0.2415  0.6539  2 Mn 1.92, 1 Mg 1.98
O  0.0961  0.7415  0.6293  2 Mn 1.92, 1 Mg 1.98
O  0.6293  0.2585  0.0961  2 Mn 1.92, 1 Mg 1.98
O  0.1207  0.2415  0.1046  2 Mn 1.92, 1 Mg 1.98
O  0.6293  0.2585  0.6454  2 Mn 1.92, 1 Mg 1.98
O  0.6454  0.7415  0.6293  2 Mn 1.92, 1 Mg 1.98
O  0.6539  0.7585  0.1207  2 Mn 1.92, 1 Mg 1.98
O  0.1046  0.7585  0.1207  2 Mn 1.92, 1 Mg 1.98
Mg  0.5000  0.0000  0.5000  4 O 1.98
Mg  0.2500  0.5000  0.2500  4 O 1.98

=====

Q: What is the DOS(E_F) in the fourth record?
A: 1.38 states/eV/cell